# 1
Material: ZrFe2As
Method: DFT, GGA-PBE
State: relaxed

a = 3.3775 Å, b = 4.2950 Å, c = 8.2817 Å
α = 90.00°, β = 90.00°, γ = 90.00°
Space group Imm2 (No. 44)
Symmetry-distinct sites (fractional):
Zr1 0.0000 0.0000 0.0000
Fe1 0.0000 0.0000 0.4857
Fe2 0.0000 0.5000 0.2265
As1 0.0000 0.5000 0.7674

Size of the total moment ... 7.16 μB/cell
Calculated volume ... 120.1 Å³/cell
Formation enthalpy at 0 K ... -63 kJ/mol of formula units

# 2
Material: ZrFeAs2
Method: DFT, GGA-PBE
State: relaxed

a = 3.9308 Å, b = 5.1120 Å, c = 6.7446 Å
α = 90.00°, β = 90.00°, γ = 90.00°
Space group Immm (No. 71)
Symmetry-distinct sites (fractional):
Zr1 0.0000 0.0000 0.0000
Fe1 0.0000 0.0000 0.5000
As1 0.0000 0.5000 0.2081

Size of the total moment ... 3.35 μB/cell
Calculated volume ... 135.5 Å³/cell
Formation enthalpy at 0 K ... -122 kJ/mol of formula units

# 3
Material: ZrFe2As
Method: DFT, GGA-PBE
State: relaxed

a = 3.8436 Å, b = 3.8436 Å, c = 4.1370 Å
α = 90.00°, β = 90.00°, γ = 90.00°
Space group P4/mmm (No. 123)
Symmetry-distinct sites (fractional):
Zr1 0.0000 0.0000 0.0000
Fe1 0.0000 0.5000 0.5000
As1 0.5000 0.5000 0.0000

Size of the total moment ... 4.64 μB/cell
Calculated volume ... 61.1 Å³/cell
Formation enthalpy at 0 K ... -91 kJ/mol of formula units

# 4
Material: ZrFe2As
Method: DFT, GGA-PBE
State: relaxed

a = 7.1065 Å, b = 7.1065 Å, c = 5.2751 Å
α = 90.00°, β = 90.00°, γ = 90.00°
Space group I-42d (No. 122)
Symmetry-distinct sites (fractional):
Zr1 0.0000 0.0000 0.0000
Fe1 0.2034 0.7500 0.6250
As1 0.0000 0.0000 0.5000

Size of the total moment ... 18.80 μB/cell
Calculated volume ... 266.4 Å³/cell
Formation enthalpy at 0 K ... 48 kJ/mol of formula units

# 5
Material: ZrFeAs2
Method: DFT, GGA-PBE
State: relaxed

a = 9.5105 Å, b = 3.4768 Å, c = 4.3507 Å
α = 90.00°, β = 102.05°, γ = 90.00°
Space group Cm (No. 8)
Symmetry-distinct sites (fractional):
Zr1 0.0000 0.0000 0.0000
Fe1 0.1987 0.0000 0.5942
As1 0.2262 0.5000 0.0812
As2 0.4777 0.0000 0.4896

Size of the total moment ... 4.57 μB/cell
Calculated volume ... 140.7 Å³/cell
Formation enthalpy at 0 K ... -150 kJ/mol of formula units

# 6
Material: ZrFe2As
Method: DFT, GGA-PBE
State: relaxed

a = 3.4131 Å, b = 3.9050 Å, c = 4.9858 Å
α = 90.00°, β = 107.56°, γ = 90.00°
Space group Pm (No. 6)
Symmetry-distinct sites (fractional):
Zr1 0.0000 0.0000 0.0000
Fe1 0.2767 0.5000 0.5952
Fe2 0.6810 0.0000 0.4832
As1 0.5775 0.5000 0.1705

Size of the total moment ... 4.67 μB/cell
Calculated volume ... 63.4 Å³/cell
Formation enthalpy at 0 K ... -86 kJ/mol of formula units

# 7
Material: ZrFeAs2
Method: DFT, GGA-PBE
State: relaxed

a = 4.4786 Å, b = 4.4786 Å, c = 3.3651 Å
α = 90.00°, β = 90.00°, γ = 90.00°
Space group P4/mmm (No. 123)
Symmetry-distinct sites (fractional):
Zr1 0.0000 0.0000 0.0000
Fe1 0.5000 0.5000 0.0000
As1 0.0000 0.5000 0.5000

Size of the total moment ... 2.28 μB/cell
Calculated volume ... 67.5 Å³/cell
Formation enthalpy at 0 K ... -132 kJ/mol of formula units

# 8
Material: ZrFe2As
Method: DFT, GGA-PBE
State: relaxed

a = 5.4047 Å, b = 9.1011 Å, c = 2.9389 Å
α = 90.00°, β = 120.46°, γ = 90.00°
Space group C2/m (No. 12)
Symmetry-distinct sites (fractional):
Zr1 0.0000 0.0000 0.0000
Fe1 0.2500 0.2500 0.5000
As1 0.0000 0.5000 0.0000

Size of the total moment ... 8.65 μB/cell
Calculated volume ... 124.6 Å³/cell
Formation enthalpy at 0 K ... 4 kJ/mol of formula units

# 9
Material: ZrFe2As
Method: DFT, GGA-PBE
State: relaxed

a = 3.1085 Å, b = 3.1085 Å, c = 6.2908 Å
α = 90.00°, β = 90.00°, γ = 90.00°
Space group P4mm (No. 99)
Symmetry-distinct sites (fractional):
Zr1 0.0000 0.0000 0.0000
Fe1 0.0000 0.0000 0.5188
Fe2 0.5000 0.5000 0.7197
As1 0.5000 0.5000 0.3196

Size of the total moment ... 4.01 μB/cell
Calculated volume ... 60.8 Å³/cell
Formation enthalpy at 0 K ... -60 kJ/mol of formula units

# 10
Material: ZrFeAs2
Method: DFT, GGA-PBE
State: relaxed

a = 3.5930 Å, b = 3.5930 Å, c = 5.4977 Å
α = 90.00°, β = 90.00°, γ = 90.00°
Space group P4mm (No. 99)
Symmetry-distinct sites (fractional):
Zr1 0.0000 0.0000 0.0000
Fe1 0.5000 0.5000 0.6657
As1 0.0000 0.0000 0.5177
As2 0.5000 0.5000 0.1614

Size of the total moment ... 2.44 μB/cell
Calculated volume ... 71.0 Å³/cell
Formation enthalpy at 0 K ... -169 kJ/mol of formula units

# 11
Material: ZrFeAs2
Method: DFT, GGA-PBE
State: relaxed

a = 3.7932 Å, b = 3.7932 Å, c = 9.5519 Å
α = 90.00°, β = 90.00°, γ = 90.00°
Space group I-4m2 (No. 119)
Symmetry-distinct sites (fractional):
Zr1 0.0000 0.0000 0.0000
Fe1 0.0000 0.5000 0.2500
As1 0.0000 0.0000 0.5000
As2 0.0000 0.5000 0.7500

Size of the total moment ... 4.89 μB/cell
Calculated volume ... 137.4 Å³/cell
Formation enthalpy at 0 K ... -103 kJ/mol of formula units

# 12
Material: ZrFe4As
Method: DFT, GGA-PBE
State: relaxed

a = 6.9038 Å, b = 6.9038 Å, c = 6.9038 Å
α = 90.00°, β = 90.00°, γ = 90.00°
Space group F-43m (No. 216)
Symmetry-distinct sites (fractional):
Zr1 0.0000 0.0000 0.0000
Fe1 0.1252 0.1252 0.3748
As1 0.2500 0.2500 0.7500

Size of the total moment ... 30.71 μB/cell
Calculated volume ... 329.1 Å³/cell
Formation enthalpy at 0 K ... -56 kJ/mol of formula units

# 13
Material: Zr2Fe2As
Method: DFT, GGA-PBE
State: relaxed

a = 6.0311 Å, b = 6.0311 Å, c = 4.3997 Å
α = 90.00°, β = 90.00°, γ = 90.00°
Space group P4/mbm (No. 127)
Symmetry-distinct sites (fractional):
Zr1 0.1818 0.3182 0.0000
Fe1 0.1298 0.6298 0.5000
As1 0.0000 0.0000 0.5000

Size of the total moment ... 0.00 μB/cell
Calculated volume ... 160.0 Å³/cell
Formation enthalpy at 0 K ... -129 kJ/mol of formula units

# 14
Material: ZrFe2As
Method: DFT, GGA-PBE
State: relaxed

a = 3.3424 Å, b = 3.3424 Å, c = 5.4896 Å
α = 90.00°, β = 90.00°, γ = 90.00°
Space group P4/mmm (No. 123)
Symmetry-distinct sites (fractional):
Zr1 0.0000 0.0000 0.0000
Fe1 0.5000 0.5000 0.2715
As1 0.0000 0.0000 0.5000

Size of the total moment ... 3.82 μB/cell
Calculated volume ... 61.3 Å³/cell
Formation enthalpy at 0 K ... -56 kJ/mol of formula units

# 15
Material: ZrFeAs2
Method: DFT, GGA-PBE
State: relaxed

a = 6.4867 Å, b = 6.4867 Å, c = 6.4867 Å
α = 90.00°, β = 90.00°, γ = 90.00°
Space group F-43m (No. 216)
Symmetry-distinct sites (fractional):
Zr1 0.0000 0.0000 0.0000
Fe1 0.2500 0.2500 0.2500
As1 0.0000 0.0000 0.5000
As2 0.2500 0.2500 0.7500

Size of the total moment ... 7.31 μB/cell
Calculated volume ... 272.9 Å³/cell
Formation enthalpy at 0 K ... -5 kJ/mol of formula units

# 16
Material: ZrFeAs2
Method: DFT, GGA-PBE
State: relaxed

a = 4.6534 Å, b = 4.6534 Å, c = 14.8663 Å
α = 90.00°, β = 90.00°, γ = 90.00°
Space group I-42d (No. 122)
Symmetry-distinct sites (fractional):
Zr1 0.0000 0.0000 0.0000
Fe1 0.0000 0.0000 0.5000
As1 0.1707 0.2500 0.6250

Size of the total moment ... 6.06 μB/cell
Calculated volume ... 321.9 Å³/cell
Formation enthalpy at 0 K ... -22 kJ/mol of formula units

# 17
Material: ZrFe2As
Method: DFT, GGA-PBE
State: relaxed

a = 3.7223 Å, b = 3.8818 Å, c = 8.4649 Å
α = 90.00°, β = 90.00°, γ = 90.00°
Space group Immm (No. 71)
Symmetry-distinct sites (fractional):
Zr1 0.0000 0.0000 0.0000
Fe1 0.0000 0.5000 0.2498
As1 0.0000 0.0000 0.5000

Size of the total moment ... 8.19 μB/cell
Calculated volume ... 122.3 Å³/cell
Formation enthalpy at 0 K ... -63 kJ/mol of formula units

# 18
Material: ZrFe2As
Method: DFT, GGA-PBE
State: relaxed

a = 6.2414 Å, b = 6.2414 Å, c = 6.2414 Å
α = 90.00°, β = 90.00°, γ = 90.00°
Space group F-43m (No. 216)
Symmetry-distinct sites (fractional):
Zr1 0.0000 0.0000 0.0000
Fe1 0.0000 0.0000 0.5000
Fe2 0.2500 0.2500 0.7500
As1 0.2500 0.2500 0.2500

Size of the total moment ... 17.57 μB/cell
Calculated volume ... 243.1 Å³/cell
Formation enthalpy at 0 K ... -31 kJ/mol of formula units

# 19
Material: GaAs
Method: DFT, GGA-PBE
State: relaxed

a = 9.9101 Å, b = 9.9101 Å, c = 4.1312 Å
α = 90.00°, β = 90.00°, γ = 120.00°
Space group P6_3/m (No. 176)
Symmetry-distinct sites (fractional):
Ga1 0.0767 0.4138 0.2500
As1 0.0870 0.6754 0.2500

Size of the total moment ... 0.00 μB/cell
Calculated volume ... 351.4 Å³/cell
Formation enthalpy at 0 K ... -38 kJ/mol of formula units

# 20
Material: GaAs
Method: DFT, GGA-PBE
State: relaxed

a = 10.5896 Å, b = 10.5896 Å, c = 4.0674 Å
α = 90.00°, β = 90.00°, γ = 90.00°
Space group I4/m (No. 87)
Symmetry-distinct sites (fractional):
Ga1 0.1212 0.7076 0.0000
As1 0.1118 0.2807 0.0000

Size of the total moment ... 0.00 μB/cell
Calculated volume ... 456.1 Å³/cell
Formation enthalpy at 0 K ... -36 kJ/mol of formula units

# 21
Material: GaAs
Method: DFT, GGA-PBE
State: relaxed

a = 2.6759 Å, b = 5.4574 Å, c = 2.7648 Å
α = 90.00°, β = 90.00°, γ = 90.00°
Space group Pmm2 (No. 25)
Symmetry-distinct sites (fractional):
Ga1 0.0000 0.0000 0.0000
As1 0.0000 0.5000 0.0057

Size of the total moment ... 0.00 μB/cell
Calculated volume ... 40.4 Å³/cell
Formation enthalpy at 0 K ... 16 kJ/mol of formula units

# 22
Material: GaAs3
Method: DFT, GGA-PBE
State: relaxed

a = 6.7182 Å, b = 6.7182 Å, c = 6.7182 Å
α = 90.00°, β = 90.00°, γ = 90.00°
Space group Fm-3m (No. 225)
Symmetry-distinct sites (fractional):
Ga1 0.0000 0.0000 0.0000
As1 0.0000 0.0000 0.5000
As2 0.2500 0.2500 0.2500

Size of the total moment ... 0.00 μB/cell
Calculated volume ... 303.2 Å³/cell
Formation enthalpy at 0 K ... 128 kJ/mol of formula units

# 23
Material: Ga5As
Method: DFT, GGA-PBE
State: relaxed

a = 4.4552 Å, b = 11.3856 Å, c = 4.5818 Å
α = 90.00°, β = 90.00°, γ = 90.00°
Space group Cmmm (No. 65)
Symmetry-distinct sites (fractional):
Ga1 0.0000 0.0000 0.0000
Ga2 0.0000 0.1625 0.5000
Ga3 0.0000 0.3336 0.0000
As1 0.0000 0.5000 0.5000

Size of the total moment ... 0.00 μB/cell
Calculated volume ... 232.4 Å³/cell
Formation enthalpy at 0 K ... 27 kJ/mol of formula units

# 24
Material: GaAs
Method: DFT, GGA-PBE
State: relaxed

a = 5.1099 Å, b = 5.1163 Å, c = 2.9530 Å
α = 90.00°, β = 90.00°, γ = 90.00°
Space group Imm2 (No. 44)
Symmetry-distinct sites (fractional):
Ga1 0.0000 0.0000 0.0000
As1 0.0000 0.5000 0.7525

Size of the total moment ... 0.00 μB/cell
Calculated volume ... 77.2 Å³/cell
Formation enthalpy at 0 K ... -2 kJ/mol of formula units

# 25
Material: GaAs
Method: DFT, GGA-PBE
State: relaxed

a = 4.0501 Å, b = 4.0501 Å, c = 6.6732 Å
α = 90.00°, β = 90.00°, γ = 120.00°
Space group P6_3mc (No. 186)
Symmetry-distinct sites (fractional):
Ga1 0.3333 0.6667 0.0000
As1 0.3333 0.6667 0.6259

Size of the total moment ... 0.00 μB/cell
Calculated volume ... 94.8 Å³/cell
Formation enthalpy at 0 K ... -66 kJ/mol of formula units

# 26
Material: GaAs
Method: DFT, GGA-PBE
State: relaxed

a = 8.3122 Å, b = 10.9525 Å, c = 11.0803 Å
α = 90.00°, β = 90.00°, γ = 90.00°
Space group Fddd (No. 70, origin choice 2)
Symmetry-distinct sites (fractional):
Ga1 0.1250 0.2767 0.1250
As1 0.1250 0.1250 0.2976

Size of the total moment ... 0.00 μB/cell
Calculated volume ... 1008.7 Å³/cell
Formation enthalpy at 0 K ... -20 kJ/mol of formula units

# 27
Material: GaAs
Method: DFT, GGA-PBE
State: relaxed

a = 5.7455 Å, b = 5.7455 Å, c = 5.7455 Å
α = 90.00°, β = 90.00°, γ = 90.00°
Space group F-43m (No. 216)
Symmetry-distinct sites (fractional):
Ga1 0.0000 0.0000 0.0000
As1 0.2500 0.2500 0.7500

Size of the total moment ... 0.00 μB/cell
Calculated volume ... 189.7 Å³/cell
Formation enthalpy at 0 K ... -68 kJ/mol of formula units